# 1
Material: DyThIrAu
Method: DFT, PBE
State: optimized geometry

Unit cell a=4.1773 b=6.1745 c=6.1745 alpha=37.32 beta=90.00 gamma=90.00
With the nearest neighbours (Å) after each atom.
Fractional positions:
1 Dy 0.0000 0.0000 0.0000  1 Ir 2.90, 4 Au 2.97
2 Th 0.5000 0.7177 0.7177  4 Ir 2.90, 2 Au 3.23
3 Ir 0.0000 0.2480 0.2480  4 Th 2.90, 1 Dy 2.90, 2 Au 3.04
4 Au 0.5000 0.4363 0.4363  4 Dy 2.97, 2 Ir 3.04, 3 Th 3.23-3.29

The formation energy comes out at -357 kJ/mol of formula units. The calculation puts the energy relative to the lowest polymorph listed for this composition at 0.0 kJ/mol of atoms. Its space-group type is No. 38. For the calculated density, the calculation gives 13.5 g/cm³.

=====

# 2
Material: FeOs2RhSe
Method: DFT, PBE
State: optimized geometry

Unit cell a=4.4219 b=4.4219 c=4.3785 alpha=90.00 beta=90.00 gamma=90.00
With the nearest neighbours (Å) after each atom.
Fractional positions:
1 Fe 0.0000 0.0000 0.0000  2 Se 2.19, 4 Os 2.21
2 Os 0.0000 0.5000 0.0000  2 Fe 2.21
3 Os 0.5000 0.0000 0.0000  2 Fe 2.21
4 Rh 0.5000 0.5000 0.5000  8 Os 3.11, 4 Se 3.13
5 Se 0.0000 0.0000 0.5000  2 Fe 2.19

The uncorrected formation energy comes out at 1.65 eV/atom. Its space-group type is No. 123. For the calculated density, the calculation gives 12.0 g/cm³.

=====

# 3
Material: MgSe2Br
Method: DFT, PBE
State: optimized geometry

Unit cell a=7.0832 b=7.0832 c=7.0832 alpha=34.17 beta=34.17 gamma=34.17
With the nearest neighbours (Å) after each atom.
Fractional positions:
1 Mg 0.0000 0.0000 0.0000  6 Se 2.70
2 Se 0.2723 0.2723 0.2723  3 Mg 2.70
3 Se 0.7277 0.7277 0.7277  3 Mg 2.70
4 Br 0.5000 0.5000 0.5000  6 Se 3.20

The uncorrected formation energy comes out at -0.21 eV/atom. The calculation puts the energy relative to the lowest polymorph listed for this composition at 43.2 kJ/mol of atoms. Its space-group type is No. 166. For the calculated density, the calculation gives 4.4 g/cm³.

=====

# 4
Material: AcThC4
Method: DFT, PBE
State: optimized geometry

Unit cell a=4.3479 b=4.3479 c=7.5857 alpha=114.87 beta=114.87 gamma=53.87
With the nearest neighbours (Å) after each atom.
Fractional positions:
1 Ac 0.0000 0.0000 0.0000  10 C 2.72-2.95
2 Th 0.5000 0.5000 0.5000  10 C 2.55-2.83
3 C 0.1895 0.1895 0.7763  1 C 1.32
4 C 0.2946 0.2946 0.6816  1 C 1.32
5 C 0.7054 0.7054 0.3184  1 C 1.32
6 C 0.8105 0.8105 0.2237  1 C 1.32

The formation energy comes out at -68 kJ/mol of formula units. Its space-group type is No. 12. For the calculated density, the calculation gives 8.2 g/cm³.

=====

# 5
Material: LiGdBi
Method: DFT, PBE
State: optimized geometry

Unit cell a=5.0736 b=5.0736 c=5.0736 alpha=60.00 beta=60.00 gamma=60.00
With the nearest neighbours (Å) after each atom.
Fractional positions:
1 Li 0.0000 0.0000 0.0000  4 Bi 3.11
2 Gd 0.5000 0.5000 0.5000  4 Bi 3.11
3 Bi 0.7500 0.7500 0.7500  4 Gd 3.11, 4 Li 3.11

The formation energy comes out at -133 kJ/mol of formula units. The calculation puts the energy relative to the lowest polymorph listed for this composition at 16.1 kJ/mol of atoms. Its space-group type is No. 216. For the calculated density, the calculation gives 6.7 g/cm³.

=====

# 6
Material: ZrCoW
Method: DFT, PBE
State: optimized geometry

Unit cell a=6.1694 b=5.0299 c=5.0223 alpha=75.72 beta=52.20 gamma=52.08
With the nearest neighbours (Å) after each atom.
Fractional positions:
1 Zr 0.1613 0.1613 0.8387  4 Co 2.63, 3 Zr 2.82-2.94
2 Zr 0.8387 0.8387 0.1613  4 Co 2.63, 3 Zr 2.82-2.94
3 Co 0.2500 0.2500 0.2500  2 Co 2.50, 4 Zr 2.63, 4 W 2.64
4 Co 0.7500 0.7500 0.7500  2 Co 2.50, 4 Zr 2.63, 4 W 2.64
5 W 0.3409 0.6591 0.3409  4 Co 2.64, 1 W 2.77
6 W 0.6591 0.3409 0.6591  4 Co 2.64, 1 W 2.77

The formation energy comes out at -29 kJ/mol of formula units. The calculation puts the energy relative to the lowest polymorph listed for this composition at 0.0 kJ/mol of atoms. Its space-group type is No. 69. For the calculated density, the calculation gives 11.7 g/cm³.

=====

# 7
Material: Ac2LaZn2In2
Method: DFT, PBE
State: optimized geometry

Unit cell a=10.8687 b=10.8687 c=10.8687 alpha=25.76 beta=25.76 gamma=25.76
With the nearest neighbours (Å) after each atom.
Fractional positions:
1 Ac 0.1234 0.1234 0.1234  3 In 3.44, 3 Zn 3.57
2 Ac 0.8766 0.8766 0.8766  3 In 3.44, 3 Zn 3.57
3 La 0.0000 0.0000 0.0000  6 Zn 3.25, 6 In 3.37
4 Zn 0.3861 0.3861 0.3861  3 In 2.81
5 Zn 0.6139 0.6139 0.6139  3 In 2.81
6 In 0.2735 0.2735 0.2735  3 Zn 2.81
7 In 0.7265 0.7265 0.7265  3 Zn 2.81

The formation energy comes out at -201 kJ/mol of formula units. Its space-group type is No. 166. For the calculated density, the calculation gives 7.4 g/cm³.

=====

# 8
Material: La3Sm7Er2
Method: DFT, PBE
State: optimized geometry

Unit cell a=12.0612 b=12.0612 c=12.0612 alpha=31.89 beta=31.89 gamma=31.89
With the nearest neighbours (Å) after each atom.
Fractional positions:
1 La 0.0000 0.0000 0.0000  6 Er 3.83
2 La 0.1543 0.1543 0.1543  12 Sm 3.80-4.12, 3 La 3.92
3 La 0.8457 0.8457 0.8457  12 Sm 3.80-4.12, 3 La 3.92
4 Sm 0.0812 0.5840 0.5840  5 Sm 3.29-3.45, 2 Er 3.43
5 Sm 0.4160 0.4160 0.9188  5 Sm 3.29-3.45, 2 Er 3.43
6 Sm 0.4160 0.9188 0.4160  5 Sm 3.29-3.45, 2 Er 3.43
7 Sm 0.5000 0.5000 0.5000  6 Sm 3.45, 6 La 3.85
8 Sm 0.5840 0.0812 0.5840  5 Sm 3.29-3.45, 2 Er 3.43
9 Sm 0.5840 0.5841 0.0812  5 Sm 3.29-3.45, 2 Er 3.43
10 Sm 0.9188 0.4159 0.4159  5 Sm 3.29-3.45, 2 Er 3.43
11 Er 0.3336 0.3336 0.3336  6 Sm 3.43, 3 La 3.83, 3 Er 3.83
12 Er 0.6664 0.6664 0.6664  6 Sm 3.43, 3 La 3.83, 3 Er 3.83

The formation energy comes out at 301 kJ/mol of formula units. Its space-group type is No. 166. For the calculated density, the calculation gives 6.9 g/cm³.

=====

# 9
Material: Al3TcHg
Method: DFT, PBE
State: optimized geometry

Unit cell a=4.8058 b=4.8058 c=4.8058 alpha=90.00 beta=90.00 gamma=90.00
With the nearest neighbours (Å) after each atom.
Fractional positions:
1 Al 0.0000 0.0000 0.5000  2 Tc 2.40
2 Al 0.0000 0.5000 0.0000  2 Tc 2.40
3 Al 0.5000 0.0000 0.0000  2 Tc 2.40
4 Tc 0.0000 0.0000 0.0000  6 Al 2.40
5 Hg 0.5000 0.5000 0.5000  12 Al 3.40

The formation energy comes out at 106 kJ/mol of formula units. The calculation puts the energy relative to the lowest polymorph listed for this composition at 0.0 kJ/mol of atoms. Its space-group type is No. 221. For the calculated density, the calculation gives 5.7 g/cm³.

=====

# 10
Material: Pm2Pr4Nd2Y
Method: DFT, PBE
State: optimized geometry

Unit cell a=9.7399 b=9.7399 c=9.0324 alpha=90.04 beta=90.04 gamma=21.76
With the nearest neighbours (Å) after each atom.
Fractional positions:
1 Pm 0.1109 0.1109 0.1681  7 Pr 3.66-3.72, 2 Nd 3.66, 1 Y 3.67, 2 Pm 3.68
2 Pm 0.8891 0.8891 0.8319  7 Pr 3.66-3.72, 2 Nd 3.66, 1 Y 3.67, 2 Pm 3.68
3 Pr 0.2225 0.2225 0.8315  6 Pr 3.68-3.71, 3 Nd 3.68, 3 Pm 3.68-3.72
4 Pr 0.4452 0.4452 0.1675  4 Pm 3.66-3.70, 2 Y 3.67, 5 Pr 3.68-3.70, 1 Nd 3.68
5 Pr 0.5548 0.5548 0.8325  4 Pm 3.66-3.70, 2 Y 3.67, 5 Pr 3.68-3.70, 1 Nd 3.68
6 Pr 0.7775 0.7775 0.1685  6 Pr 3.68-3.71, 3 Nd 3.68, 3 Pm 3.68-3.72
7 Nd 0.3344 0.3344 0.5004  2 Y 3.66, 2 Pm 3.66, 4 Nd 3.68-3.72, 4 Pr 3.68
8 Nd 0.6656 0.6656 0.4996  2 Y 3.66, 2 Pm 3.66, 4 Nd 3.68-3.72, 4 Pr 3.68
9 Y 0.0000 0.0000 0.5000  4 Nd 3.66, 4 Pr 3.67, 2 Pm 3.67, 2 Y 3.68

The formation energy comes out at 12 kJ/mol of formula units. Its space-group type is No. 12. For the calculated density, the calculation gives 6.4 g/cm³.

=====

# 11
Material: Cs2PaMo2N6
Method: DFT, PBE
State: optimized geometry

Unit cell a=7.3756 b=7.3756 c=7.3756 alpha=51.15 beta=51.15 gamma=51.15
With the nearest neighbours (Å) after each atom.
Fractional positions:
1 Cs 0.2196 0.2196 0.2196  9 N 3.31-3.49, 3 Mo 3.70
2 Cs 0.7804 0.7804 0.7804  9 N 3.31-3.49, 3 Mo 3.70
3 Pa 0.0000 0.0000 0.0000  6 N 2.29
4 Mo 0.4247 0.4247 0.4247  3 N 1.84
5 Mo 0.5753 0.5753 0.5753  3 N 1.84
6 N 0.2392 0.2392 0.7221  1 Mo 1.84
7 N 0.2392 0.7221 0.2392  1 Mo 1.84
8 N 0.2779 0.7608 0.7608  1 Mo 1.84
9 N 0.7221 0.2392 0.2392  1 Mo 1.84
10 N 0.7608 0.2779 0.7608  1 Mo 1.84
11 N 0.7608 0.7608 0.2779  1 Mo 1.84

The uncorrected formation energy comes out at -0.46 eV/atom. Its space-group type is No. 166. For the calculated density, the calculation gives 5.7 g/cm³.

=====

# 12
Material: Zn2MoPb
Method: DFT, PBE
State: optimized geometry

Unit cell a=2.9264 b=2.9264 c=9.0580 alpha=90.00 beta=90.00 gamma=91.14
With the nearest neighbours (Å) after each atom.
Fractional positions:
1 Zn 0.0000 0.0000 0.0000  8 Zn 2.73-2.93
2 Zn 0.5000 0.5000 0.2000  8 Zn 2.73-2.93, 4 Mo 2.76-2.79
3 Mo 0.0000 0.0000 0.4044  4 Zn 2.76-2.79, 4 Mo 2.93
4 Pb 0.5000 0.5000 0.6690  4 Pb 2.93, 4 Mo 3.15-3.18

The formation energy comes out at 166 kJ/mol of formula units. Its space-group type is No. 35. For the calculated density, the calculation gives 9.3 g/cm³.

=====

# 13
Material: LaZnIO2
Method: DFT, PBE
State: optimized geometry

Unit cell a=4.3875 b=4.3875 c=4.9218 alpha=90.00 beta=90.00 gamma=90.00
With the nearest neighbours (Å) after each atom.
Fractional positions:
1 La 0.0000 0.0000 0.0000  4 I 3.10, 8 O 3.30
2 Zn 0.5000 0.5000 0.5000  4 O 2.19
3 I 0.5000 0.5000 0.0000  2 Zn 2.46
4 O 0.0000 0.5000 0.5000  2 Zn 2.19
5 O 0.5000 0.0000 0.5000  2 Zn 2.19

The uncorrected formation energy comes out at -0.94 eV/atom. The calculation puts the energy relative to the lowest polymorph listed for this composition at 28.7 kJ/mol of atoms. Its space-group type is No. 123. For the calculated density, the calculation gives 6.4 g/cm³.

=====

# 14
Material: HSCl2F
Method: DFT, PBE
State: optimized geometry

Unit cell a=4.8147 b=4.8147 c=3.2125 alpha=90.00 beta=90.00 gamma=90.00
With the nearest neighbours (Å) after each atom.
Fractional positions:
1 H 0.0000 0.0000 0.0000  2 S 1.61
2 S 0.0000 0.0000 0.5000  2 H 1.61
3 Cl 0.0000 0.5000 0.0000  2 H 2.41
4 Cl 0.5000 0.0000 0.0000  2 H 2.41
5 F 0.5000 0.5000 0.5000  8 Cl 2.89, 2 F 3.21

The calculation puts the energy relative to the lowest polymorph listed for this composition at 0.0 kJ/mol of atoms. Its space-group type is No. 123. For the calculated density, the calculation gives 2.7 g/cm³.